[1]
First-principles (PBE) data for an optimized crystal structure of LiPr2Si3Ir4, as listed in Alexandria via LeMat-Bulk.

Values from the calculation:
E_form (uncorrected) = -906 meV per atom
calculated volume = 17.49 Å³/atom
crystal system = tetragonal
D(E_F) = 5.5 states/eV/f.u.

POSCAR file:
```
LiPr2Si3Ir4
1.0
-2.953 1.604 -2.430
2.198 -1.043 -3.358
-4.685 -9.024 -0.263
Li Pr Si Ir
1 2 3 4
Direct
0.500 0.500 0.500 Li
0.500 0.000 0.255 Pr
0.000 0.500 0.745 Pr
0.000 0.000 0.500 Si
0.500 0.000 0.874 Si
0.000 0.500 0.126 Si
0.500 0.500 0.000 Ir
0.000 0.000 0.000 Ir
0.500 0.000 0.634 Ir
0.000 0.500 0.366 Ir
```

[2]
First-principles (PBE) data for an optimized crystal structure of LiPr2Sn4Ir3, as listed in Alexandria via LeMat-Bulk.

Values from the calculation:
energy of formation = -552.1 kJ/mol of formula units
calculated volume = 22.34 Å³/atom
crystal system = tetragonal
D(E_F) = 5.3 states/eV/f.u.

POSCAR file:
```
LiPr2Sn4Ir3
1.0
-2.323 -3.908 0.051
3.663 -2.156 1.614
-3.240 2.056 10.101
Li Pr Sn Ir
1 2 4 3
Direct
0.500 0.500 0.500 Li
0.500 0.000 0.246 Pr
0.000 0.500 0.754 Pr
0.500 0.500 0.000 Sn
0.000 0.000 0.000 Sn
0.500 0.000 0.628 Sn
0.000 0.500 0.372 Sn
0.000 0.000 0.500 Ir
0.500 0.000 0.869 Ir
0.000 0.500 0.131 Ir
```

[3]
First-principles (PBE) data for an optimized crystal structure of LiTbPrIr, as listed in Alexandria via LeMat-Bulk.

Values from the calculation:
energy of formation = -172.3 kJ/mol of formula units
calculated volume = 22.58 Å³/atom
crystal system = cubic
D(E_F) = 3.0 states/eV/f.u.

POSCAR file:
```
LiTbPrIr
1.0
-2.102 -4.571 0.233
2.908 -4.112 0.000
0.448 -2.767 4.184
Pr Ir Tb Li
1 1 1 1
Direct
0.250 0.250 0.250 Pr
0.500 0.500 0.500 Ir
0.750 0.750 0.750 Tb
0.000 0.000 0.000 Li
```